Density functional theory data (GGA-PBE) for crystalline CsRbAg at its relaxed geometry.

Structure (CIF):
```
data_CsRbAg
_cell_length_a 7.295
_cell_length_b 5.138
_cell_length_c 10.099
_cell_angle_alpha 90.00
_cell_angle_beta 101.27
_cell_angle_gamma 90.00
_space_group_name_H-M_alt 'P 1'
_space_group_IT_number 1
_space_group_name_Hall 'P 1'
loop_
_atom_site_label
_atom_site_fract_x
_atom_site_fract_y
_atom_site_fract_z
_atom_site_occupancy
Cs1 0.209 0.250 0.319 1
Cs2 0.791 0.750 0.681 1
Rb1 0.329 0.250 0.850 1
Rb2 0.671 0.750 0.150 1
Ag1 0.097 0.750 0.023 1
Ag2 0.903 0.250 0.977 1
```

Calculated values
* energy relative to the lowest polymorph listed for this composition: 0 meV/atom
* DFT formation energy: 0.021 eV per atom
* total magnetic moment: 0.00 Bohr magnetons per cell
* SG: P2_1/m (11)